This record from Alexandria describes a geometry-optimized CoSbBr2 structure. The functional is PBE.

density = 5798 kg/m³
ΔE_f (raw) = 514 meV/atom
total magnetic moment = 0.56 μB per atom
relative energy among the computed polymorphs = 0.649 eV/atom

Structure (CIF):
```
data_CoSbBr2
_cell_length_a 3.432
_cell_length_b 4.630
_cell_length_c 6.136
_cell_angle_alpha 90.00
_cell_angle_beta 90.00
_cell_angle_gamma 90.00
_symmetry_space_group_name_H-M 'P m m m'
_symmetry_Int_Tables_number 47
loop_
_symmetry_equiv_pos_as_xyz
'x,y,z'
'-x,-y,-z'
'-x,-y,z'
'x,y,-z'
'x,-y,-z'
'-x,y,z'
'-x,y,-z'
'x,-y,z'
loop_
_atom_site_label
_atom_site_fract_x
_atom_site_fract_y
_atom_site_fract_z
Co1 0.000 0.000 0.000
Sb1 0.500 0.000 0.500
Br1 0.000 0.500 0.500
Br2 0.500 0.500 0.000
```

This record from Alexandria describes a geometry-optimized NdYGa4 structure. The functional is PBE.

density = 6916 kg/m³
formation enthalpy at 0 K = -3.37 eV per formula unit
total magnetic moment = 0.00 μB per atom
relative energy among the computed polymorphs = 0.116 eV/atom

Structure (CIF):
```
data_NdYGa4
_cell_length_a 7.893
_cell_length_b 7.893
_cell_length_c 7.893
_cell_angle_alpha 90.00
_cell_angle_beta 90.00
_cell_angle_gamma 90.00
_symmetry_space_group_name_H-M 'F -4 3 m'
_symmetry_Int_Tables_number 216
_symmetry_space_group_name_Hall 'F -4 2 3'
loop_
_atom_site_label
_atom_site_fract_x
_atom_site_fract_y
_atom_site_fract_z
Nd1 0.000 0.000 0.000
Y1 0.250 0.250 0.750
Ga1 0.125 0.125 0.375
```

This record from Alexandria describes a geometry-optimized CaPrSmEu structure. The functional is PBE.

density = 5319 kg/m³
formation enthalpy at 0 K = 0.47 eV per formula unit
total magnetic moment = 1.79 μB per atom

Structure (CIF):
```
data_CaPrSmEu
_cell_length_a 8.451
_cell_length_b 8.451
_cell_length_c 8.451
_cell_angle_alpha 90.00
_cell_angle_beta 90.00
_cell_angle_gamma 90.00
_symmetry_space_group_name_H-M 'F -4 3 m'
_symmetry_Int_Tables_number 216
_symmetry_space_group_name_Hall 'F -4 2 3'
loop_
_atom_site_label
_atom_site_fract_x
_atom_site_fract_y
_atom_site_fract_z
Ca1 0.000 0.000 0.000
Pr1 0.250 0.250 0.250
Sm1 0.000 0.000 0.500
Eu1 0.250 0.250 0.750
```

This record from Alexandria describes a geometry-optimized ScMn2Rh2 structure. The functional is PBE.

density = 8119 kg/m³
formation enthalpy at 0 K = -0.32 eV per formula unit
total magnetic moment = 0.30 μB per atom

Structure (CIF):
```
data_ScMn2Rh2
_cell_length_a 3.291
_cell_length_b 3.291
_cell_length_c 13.622
_cell_angle_alpha 90.00
_cell_angle_beta 90.00
_cell_angle_gamma 90.00
_symmetry_space_group_name_H-M 'I 4/m m m'
_symmetry_Int_Tables_number 139
_symmetry_space_group_name_Hall '-I 4 2'
loop_
_atom_site_label
_atom_site_fract_x
_atom_site_fract_y
_atom_site_fract_z
Sc1 0.000 0.000 0.000
Mn1 0.000 0.500 0.250
Rh1 0.000 0.000 0.395
```

This record from Alexandria describes a geometry-optimized Hf2BSb2 structure. The functional is PBE.

density = 9064 kg/m³
ΔE_f (raw) = 754 meV/atom
total magnetic moment = 0.10 μB per atom
relative energy among the computed polymorphs = 0.745 eV/atom

Structure (CIF):
```
data_Hf2BSb2
_cell_length_a 3.913
_cell_length_b 3.913
_cell_length_c 14.627
_cell_angle_alpha 90.00
_cell_angle_beta 90.00
_cell_angle_gamma 90.00
_symmetry_space_group_name_H-M 'I 4/m m m'
_symmetry_Int_Tables_number 139
_symmetry_space_group_name_Hall '-I 4 2'
loop_
_atom_site_label
_atom_site_fract_x
_atom_site_fract_y
_atom_site_fract_z
Hf1 0.000 0.000 0.094
B1 0.000 0.000 0.500
Sb1 0.000 0.500 0.250
```

This record from Alexandria describes a geometry-optimized TlCuGe2S6 structure. The functional is PBE.

density = 4202 kg/m³
ΔE_f (raw) = -195 meV/atom
total magnetic moment = 0.00 μB per atom

Structure (CIF):
```
data_TlCuGe2S6
_cell_length_a 12.949
_cell_length_b 12.059
_cell_length_c 6.718
_cell_angle_alpha 90.00
_cell_angle_beta 114.13
_cell_angle_gamma 90.00
_symmetry_space_group_name_H-M 'C 1 2/c 1'
_symmetry_Int_Tables_number 15
loop_
_symmetry_equiv_pos_as_xyz
'x,y,z'
'-x,-y,-z'
'-x,y,-z+1/2'
'x,-y,z+1/2'
'x+1/2,y+1/2,z'
'-x+1/2,-y+1/2,-z'
'-x+1/2,y+1/2,-z+1/2'
'x+1/2,-y+1/2,z+1/2'
loop_
_atom_site_label
_atom_site_fract_x
_atom_site_fract_y
_atom_site_fract_z
Tl1 0.000 0.179 0.250
Cu1 0.000 0.204 0.750
Ge1 0.205 0.421 0.231
S1 0.105 0.077 0.635
S2 0.135 0.253 0.082
S3 0.135 0.438 0.488
```

This record from Alexandria describes a geometry-optimized Tl2Ag5S4 structure. The functional is PBE.

density = 6830 kg/m³
ΔE_f (raw) = -36 meV/atom
total magnetic moment = 0.00 μB per atom

Structure (CIF):
```
data_Tl2Ag5S4
_cell_length_a 6.003
_cell_length_b 12.964
_cell_length_c 13.451
_cell_angle_alpha 90.00
_cell_angle_beta 90.00
_cell_angle_gamma 90.00
_symmetry_space_group_name_H-M 'F m m m'
_symmetry_Int_Tables_number 69
_symmetry_space_group_name_Hall '-F 2 2'
loop_
_atom_site_label
_atom_site_fract_x
_atom_site_fract_y
_atom_site_fract_z
Tl1 0.000 0.000 0.172
Ag1 0.000 0.000 0.500
Ag2 0.250 0.250 0.000
Ag3 0.250 0.250 0.250
S1 0.000 0.142 0.370
```

This record from Alexandria describes a geometry-optimized Si2SbPOs structure. The functional is PBE.

density = 6039 kg/m³
ΔE_f (raw) = 579 meV/atom
total magnetic moment = 0.00 μB per atom
relative energy among the computed polymorphs = 0.000 eV/atom

Structure (CIF):
```
data_Si2SbPOs
_cell_length_a 4.534
_cell_length_b 4.534
_cell_length_c 5.339
_cell_angle_alpha 90.00
_cell_angle_beta 90.00
_cell_angle_gamma 90.00
_symmetry_space_group_name_H-M 'P 4/m m m'
_symmetry_Int_Tables_number 123
_symmetry_space_group_name_Hall '-P 4 2'
loop_
_atom_site_label
_atom_site_fract_x
_atom_site_fract_y
_atom_site_fract_z
Si1 0.000 0.500 0.000
Sb1 0.000 0.000 0.500
P1 0.500 0.500 0.500
Os1 0.000 0.000 0.000
```